[1]
The following is a DFT calculation (PBE) of an optimized crystal structure of Sc2MnCo.

a = 4.5277 Å, b = 4.5277 Å, c = 4.5277 Å
α = 60.00°, β = 60.00°, γ = 60.00°
With the nearest neighbours (Å) after each atom.
Fractional coordinates of all 4 atoms:
Sc1 0.0000 0.0000 0.0000  4 Mn 2.77, 4 Sc 2.77
Sc2 0.2500 0.2500 0.2500  4 Co 2.77, 4 Sc 2.77
Mn1 0.7500 0.7500 0.7500  4 Co 2.77, 4 Sc 2.77
Co1 0.5000 0.5000 0.5000  4 Mn 2.77, 4 Sc 2.77

Crystal system: cubic
Formation energy, eV per atom: 0.08
DOS at the Fermi energy, states/eV per cell: 3.9

***

[2]
The following is a DFT calculation (PBE) of an optimized crystal structure of LaEuH2.

a = 6.4400 Å, b = 6.4400 Å, c = 6.4400 Å
α = 33.21°, β = 33.21°, γ = 33.21°
With the nearest neighbours (Å) after each atom.
Fractional coordinates of all 4 atoms:
La1 0.0000 0.0000 0.0000  6 H 2.60
Eu1 0.5000 0.5000 0.5000  6 H 2.63
H1 0.2513 0.2513 0.2513  3 La 2.60, 3 Eu 2.63
H2 0.7487 0.7487 0.7487  3 La 2.60, 3 Eu 2.63

Crystal system: trigonal
E_tot, eV per formula unit: -23.468
DOS at the Fermi energy, states/eV per cell: 1.7

***

[3]
The following is a DFT calculation (PBE) of an optimized crystal structure of CaSc2Sb2.

a = 7.4772 Å, b = 7.4772 Å, c = 7.4772 Å
α = 144.50°, β = 144.50°, γ = 51.08°
With the nearest neighbours (Å) after each atom.
Fractional coordinates of all 5 atoms:
Ca1 0.0000 0.0000 0.0000  8 Sb 3.59
Sc1 0.2500 0.7500 0.5000  4 Sb 2.90, 4 Sc 3.22
Sc2 0.7500 0.2500 0.5000  4 Sb 2.90, 4 Sc 3.22
Sb1 0.3834 0.3834 0.0000  4 Sc 2.90, 1 Sb 3.15
Sb2 0.6166 0.6166 0.0000  4 Sc 2.90, 1 Sb 3.15

Crystal system: tetragonal
Formation energy (no corrections), eV per atom: -0.7120
Energy above the lowest structure with this stoichiometry, kJ/mol of atoms: 3.3
DOS at the Fermi energy, states/eV per cell: 3.8

***

[4]
The following is a DFT calculation (PBE) of an optimized crystal structure of PmDySb.

a = 8.4178 Å, b = 8.4178 Å, c = 4.8814 Å
α = 90.00°, β = 90.00°, γ = 150.18°
With the nearest neighbours (Å) after each atom.
Fractional coordinates of all 6 atoms:
Pm1 0.0743 0.9257 0.7500  6 Sb 3.30-3.61, 2 Pm 3.44, 2 Dy 3.57
Pm2 0.9257 0.0743 0.2500  6 Sb 3.30-3.61, 2 Pm 3.44, 2 Dy 3.57
Dy1 0.2512 0.7488 0.2500  4 Sb 3.23-3.40, 4 Dy 3.26, 2 Pm 3.57
Dy2 0.7488 0.2512 0.7500  4 Sb 3.23-3.40, 4 Dy 3.26, 2 Pm 3.57
Sb1 0.3964 0.6036 0.7500  4 Dy 3.23-3.40, 6 Pm 3.30-3.61
Sb2 0.6036 0.3964 0.2500  4 Dy 3.23-3.40, 6 Pm 3.30-3.61

Crystal system: orthorhombic
Formation energy (no corrections), eV per atom: -0.7200
Energy above the lowest structure with this stoichiometry, kJ/mol of atoms: 10.7
DOS at the Fermi energy, states/eV per cell: 6.3

***

[5]
The following is a DFT calculation (PBE) of an optimized crystal structure of KBeAu2.

a = 5.2683 Å, b = 5.2683 Å, c = 2.8516 Å
α = 90.00°, β = 90.00°, γ = 90.24°
With the nearest neighbours (Å) after each atom.
Fractional coordinates of all 4 atoms:
K1 0.0000 0.0000 0.0000  2 K 2.85, 8 Au 3.00
Be1 0.5000 0.5000 0.0000  2 Be 2.85, 8 Au 3.00
Au1 0.0000 0.5000 0.5000  2 Au 2.85, 4 K 3.00, 4 Be 3.00
Au2 0.5000 0.0000 0.5000  2 Au 2.85, 4 K 3.00, 4 Be 3.00

Crystal system: orthorhombic
Formation energy, eV per atom: 0.37
DOS at the Fermi energy, states/eV per cell: 1.0

***

[6]
The following is a DFT calculation (PBE) of an optimized crystal structure of CsKCd2Bi2.

a = 5.0488 Å, b = 5.0488 Å, c = 11.2953 Å
α = 90.00°, β = 90.00°, γ = 120.00°
With the nearest neighbours (Å) after each atom.
Fractional coordinates of all 6 atoms:
Cs1 0.0000 0.0000 0.0000  6 Bi 4.15, 6 Cd 4.33
K1 0.0000 0.0000 0.5000  6 Cd 3.80, 6 Bi 3.96
Cd1 0.3333 0.6667 0.2837  3 Bi 2.93
Cd2 0.6667 0.3333 0.7163  3 Bi 2.93
Bi1 0.3333 0.6667 0.7379  3 Cd 2.93
Bi2 0.6667 0.3333 0.2621  3 Cd 2.93

Crystal system: trigonal
Formation energy, eV per atom: -0.33
DOS at the Fermi energy, states/eV per cell: 0.8

***

[7]
The following is a DFT calculation (PBE) of an optimized crystal structure of Tb4AlCu2.

a = 8.9168 Å, b = 8.9168 Å, c = 8.9168 Å
α = 32.08°, β = 32.08°, γ = 32.08°
With the nearest neighbours (Å) after each atom.
Fractional coordinates of all 7 atoms:
Tb1 0.1212 0.1212 0.1212  3 Al 3.07, 3 Cu 3.11
Tb2 0.2918 0.2918 0.2918  4 Cu 2.86-2.94
Tb3 0.7082 0.7082 0.7082  4 Cu 2.86-2.94
Tb4 0.8788 0.8788 0.8788  3 Al 3.07, 3 Cu 3.11
Al1 0.5000 0.5000 0.5000  2 Cu 2.42
Cu1 0.4046 0.4046 0.4046  1 Al 2.42
Cu2 0.5954 0.5954 0.5954  1 Al 2.42

Crystal system: trigonal
Formation energy, eV per atom: -0.09
Energy above the lowest structure with this stoichiometry, kJ/mol of atoms: 5.7
DOS at the Fermi energy, states/eV per cell: 7.6

***

[8]
The following is a DFT calculation (PBE) of an optimized crystal structure of CeMgSi2Pd2.

a = 4.2548 Å, b = 4.2548 Å, c = 6.9245 Å
α = 90.00°, β = 90.00°, γ = 120.00°
With the nearest neighbours (Å) after each atom.
Fractional coordinates of all 6 atoms:
Ce1 0.0000 0.0000 0.0000  6 Si 3.09, 6 Pd 3.33
Mg1 0.0000 0.0000 0.5000  6 Pd 2.74, 6 Si 2.93
Si1 0.3333 0.6667 0.2702  3 Pd 2.49
Si2 0.6667 0.3333 0.7298  3 Pd 2.49
Pd1 0.3333 0.6667 0.6749  3 Si 2.49, 3 Mg 2.74
Pd2 0.6667 0.3333 0.3251  3 Si 2.49, 3 Mg 2.74

Crystal system: trigonal
Formation energy (no corrections), eV per atom: -0.7573
DOS at the Fermi energy, states/eV per cell: 5.5

***

[9]
The following is a DFT calculation (PBE) of an optimized crystal structure of Y2VAu2.

a = 7.6780 Å, b = 7.6780 Å, c = 3.9572 Å
α = 90.00°, β = 90.00°, γ = 90.00°
With the nearest neighbours (Å) after each atom.
Fractional coordinates of all 10 atoms:
Y1 0.1717 0.3283 0.0000  6 Au 2.90-3.08
Y2 0.3283 0.8283 0.0000  6 Au 2.90-3.08
Y3 0.6717 0.1717 0.0000  6 Au 2.90-3.08
Y4 0.8283 0.6717 0.0000  6 Au 2.90-3.08
V1 0.0000 0.0000 0.5000  4 Au 2.99
V2 0.5000 0.5000 0.5000  4 Au 2.99
Au1 0.1336 0.6336 0.5000  6 Y 2.90-3.08, 1 Au 2.90, 2 V 2.99
Au2 0.3664 0.1336 0.5000  6 Y 2.90-3.08, 1 Au 2.90, 2 V 2.99
Au3 0.6336 0.8664 0.5000  6 Y 2.90-3.08, 1 Au 2.90, 2 V 2.99
Au4 0.8664 0.3664 0.5000  6 Y 2.90-3.08, 1 Au 2.90, 2 V 2.99

Crystal system: tetragonal
Formation energy, eV per atom: -0.40
DOS at the Fermi energy, states/eV per cell: 9.8

***

[10]
The following is a DFT calculation (PBE) of an optimized crystal structure of Ti2BiPd2.

a = 7.6564 Å, b = 7.6564 Å, c = 3.1794 Å
α = 90.00°, β = 90.00°, γ = 90.00°
With the nearest neighbours (Å) after each atom.
Fractional coordinates of all 10 atoms:
Ti1 0.1557 0.3443 0.0000  6 Pd 2.72-2.81, 2 Bi 2.89
Ti2 0.3443 0.8443 0.0000  6 Pd 2.72-2.81, 2 Bi 2.89
Ti3 0.6557 0.1557 0.0000  6 Pd 2.72-2.81, 2 Bi 2.89
Ti4 0.8443 0.6557 0.0000  6 Pd 2.72-2.81, 2 Bi 2.89
Bi1 0.0000 0.0000 0.0000  4 Ti 2.89, 2 Bi 3.18
Bi2 0.5000 0.5000 0.0000  4 Ti 2.89, 2 Bi 3.18
Pd1 0.1308 0.6308 0.5000  6 Ti 2.72-2.81, 1 Pd 2.83
Pd2 0.3692 0.1308 0.5000  6 Ti 2.72-2.81, 1 Pd 2.83
Pd3 0.6308 0.8692 0.5000  6 Ti 2.72-2.81, 1 Pd 2.83
Pd4 0.8692 0.3692 0.5000  6 Ti 2.72-2.81, 1 Pd 2.83

Crystal system: tetragonal
Formation energy, eV per atom: -0.27
Energy above the lowest structure with this stoichiometry, kJ/mol of atoms: 8.4
DOS at the Fermi energy, states/eV per cell: 7.5

***

[11]
The following is a DFT calculation (PBE) of an optimized crystal structure of Tl3AuI6.

a = 10.4139 Å, b = 10.4139 Å, c = 8.7658 Å
α = 90.00°, β = 90.00°, γ = 79.22°
With the nearest neighbours (Å) after each atom.
Fractional coordinates of all 20 atoms:
Tl1 0.1018 0.8982 0.5000  1 Au 3.18, 4 I 3.40-3.44
Tl2 0.1874 0.3659 0.0007  3 I 3.30-3.61
Tl3 0.3659 0.1874 0.5007  3 I 3.30-3.61
Tl4 0.6341 0.8126 0.0007  3 I 3.30-3.61
Tl5 0.8126 0.6341 0.5007  3 I 3.30-3.61
Tl6 0.8982 0.1018 0.0000  1 Au 3.18, 4 I 3.40-3.44
Au1 0.3362 0.6638 0.4277  2 I 2.61
Au2 0.6638 0.3362 0.9277  2 I 2.61
I1 0.1246 0.1541 0.7323  4 Tl 3.30-3.44
I2 0.1541 0.1246 0.2323  4 Tl 3.30-3.44
I3 0.1696 0.5051 0.4247  1 Au 2.61
I4 0.2311 0.7689 0.8800  1 I 2.81
I5 0.4427 0.5573 0.9003  1 I 2.81, 1 Au 2.95
I6 0.4949 0.8304 0.4247  1 Au 2.61
I7 0.5051 0.1696 0.9247  1 Au 2.61
I8 0.5573 0.4427 0.4003  1 I 2.81, 1 Au 2.95
I9 0.7689 0.2311 0.3800  1 I 2.81
I10 0.8304 0.4949 0.9247  1 Au 2.61
I11 0.8459 0.8754 0.7323  4 Tl 3.30-3.44
I12 0.8754 0.8459 0.2323  4 Tl 3.30-3.44

Crystal system: orthorhombic
Formation energy (no corrections), eV per atom: -0.3716
Energy above the lowest structure with this stoichiometry, kJ/mol of atoms: 1.9

***

[12]
The following is a DFT calculation (PBE) of an optimized crystal structure of TaNb6Ni.

a = 5.2108 Å, b = 5.2190 Å, c = 5.2220 Å
α = 90.00°, β = 90.00°, γ = 90.00°
With the nearest neighbours (Å) after each atom.
Fractional coordinates of all 8 atoms:
Ta1 0.0000 0.0000 0.0000  12 Nb 2.92
Nb1 0.0000 0.5000 0.2526  2 Nb 2.58-2.64
Nb2 0.0000 0.5000 0.7474  2 Nb 2.58-2.64
Nb3 0.2526 0.0000 0.5000  2 Nb 2.58-2.63
Nb4 0.5000 0.2530 0.0000  2 Nb 2.58-2.64
Nb5 0.5000 0.7470 0.0000  2 Nb 2.58-2.64
Nb6 0.7474 0.0000 0.5000  2 Nb 2.58-2.63
Ni1 0.5000 0.5000 0.5000  12 Nb 2.91

Crystal system: orthorhombic
Formation energy, eV per atom: 0.01
DOS at the Fermi energy, states/eV per cell: 12.6

***

[13]
The following is a DFT calculation (PBE) of an optimized crystal structure of Rb2TlBr4.

a = 8.3154 Å, b = 7.8858 Å, c = 9.7311 Å
α = 90.00°, β = 107.68°, γ = 90.00°
With the nearest neighbours (Å) after each atom.
Fractional coordinates of all 14 atoms:
Rb1 0.2222 0.2500 0.0642  6 Br 3.52-3.65
Rb2 0.2454 0.2500 0.5542  6 Br 3.49-3.69
Rb3 0.7546 0.7500 0.4458  6 Br 3.49-3.69
Rb4 0.7778 0.7500 0.9358  6 Br 3.52-3.65
Tl1 0.2463 0.7500 0.8110  4 Br 2.84-2.86
Tl2 0.7537 0.2500 0.1890  4 Br 2.84-2.86
Br1 0.0021 0.0173 0.7476  1 Tl 2.86
Br2 0.0021 0.4827 0.7476  1 Tl 2.86
Br3 0.4389 0.7500 0.6143  1 Tl 2.84
Br4 0.4570 0.7500 0.1043  1 Tl 2.86
Br5 0.5430 0.2500 0.8957  1 Tl 2.86
Br6 0.5611 0.2500 0.3857  1 Tl 2.84
Br7 0.9979 0.5173 0.2524  1 Tl 2.86
Br8 0.9979 0.9827 0.2524  1 Tl 2.86

Crystal system: monoclinic
Formation energy (no corrections), eV per atom: -1.1953
Energy above the lowest structure with this stoichiometry, kJ/mol of atoms: 3.6
DOS at the Fermi energy, states/eV per cell: 10.5

***

[14]
The following is a DFT calculation (PBE) of an optimized crystal structure of LaSbOs2.

a = 6.1855 Å, b = 6.1855 Å, c = 6.1855 Å
α = 104.83°, β = 104.83°, γ = 119.22°
With the nearest neighbours (Å) after each atom.
Fractional coordinates of all 8 atoms:
La1 0.0000 0.0000 0.0000  8 Os 3.03-3.38, 2 Sb 3.13
La2 0.7500 0.2500 0.5000  8 Os 3.03-3.38, 2 Sb 3.13
Sb1 0.2500 0.7500 0.5000  4 Os 2.56
Sb2 0.5000 0.5000 0.0000  4 Os 2.56
Os1 0.1713 0.6250 0.0463  2 Sb 2.56
Os2 0.3750 0.4213 0.5463  2 Sb 2.56
Os3 0.5787 0.1250 0.9537  2 Sb 2.56
Os4 0.8750 0.8287 0.4537  2 Sb 2.56

Crystal system: tetragonal
Formation energy (no corrections), eV per atom: 0.6755
DOS at the Fermi energy, states/eV per cell: 1.4

***

[15]
The following is a DFT calculation (PBE) of an optimized crystal structure of AlPRu.

a = 4.0484 Å, b = 4.0484 Å, c = 4.0484 Å
α = 60.00°, β = 60.00°, γ = 60.00°
With the nearest neighbours (Å) after each atom.
Fractional coordinates of all 3 atoms:
Al1 0.0000 0.0000 0.0000  4 Ru 2.48
P1 0.5000 0.5000 0.5000  4 Ru 2.48
Ru1 0.7500 0.7500 0.7500  4 Al 2.48, 4 P 2.48

Crystal system: cubic
Formation energy, eV per atom: -0.24
DOS at the Fermi energy, states/eV per cell: 3.1